Density functional theory data (PBE) for crystalline Ti3BMo at its relaxed geometry.

The structure belongs to space group Pm-3m (No. 221); the cell edges are 4.2540, 4.2540 and 4.2540 Å and the angles 90.00°, 90.00° and 90.00°. The inequivalent atoms are Ti at (0.0000, 0.0000, 0.5000), B at (0.0000, 0.0000, 0.0000) and Mo at (0.5000, 0.5000, 0.5000).

Its polymorph energy (0 for the lowest one) is 0 meV per atom.

---

Density functional theory data (PBE) for crystalline MgZnRu2 at its relaxed geometry.

The structure belongs to space group Pmm2 (No. 25); the cell edges are 2.8581, 3.6123 and 5.7942 Å and the angles 90.00°, 90.00° and 90.00°. The inequivalent atoms are Mg at (0.0000, 0.0000, 0.0000), Zn at (0.5000, 0.5000, 0.7394), Ru at (0.0000, 0.0000, 0.4877) and Ru at (0.5000, 0.5000, 0.2743).

---

Density functional theory data (PBE) for crystalline K2SrSn2 at its relaxed geometry.

The structure belongs to space group P4/mbm (No. 127); the cell edges are 8.6983, 8.6983 and 5.6277 Å and the angles 90.00°, 90.00° and 90.00°. The inequivalent atoms are K at (0.1708, 0.3292, 0.0000), Sr at (0.0000, 0.0000, 0.5000) and Sn at (0.1134, 0.6134, 0.5000).

Its polymorph energy (0 for the lowest one) is 43 meV per atom.

---

Density functional theory data (PBE) for crystalline Nd3MgRu at its relaxed geometry.

The structure belongs to space group Fmmm (No. 69); the cell edges are 6.7640, 10.2903 and 16.2349 Å and the angles 90.00°, 90.00° and 90.00°. The inequivalent atoms are Nd at (0.0000, 0.0000, 0.2038), Nd at (0.0000, 0.1965, 0.3894), Mg at (0.2060, 0.0000, 0.0000) and Ru at (0.2500, 0.2500, 0.2500).

Its polymorph energy (0 for the lowest one) is 0 meV per atom.

---

Number 1: magnetic moment 0.000 μB per atom, DOS(E_F) 8.761 states/eV/f.u., E_tot -8.176 eV per atom. Number 2: magnetic moment 0.000 μB per atom, DOS(E_F) 2.399 states/eV/f.u., E_tot -5.346 eV per atom. Number 3: magnetic moment 0.000 μB per atom, DOS(E_F) 3.334 states/eV/f.u., E_tot -2.574 eV per atom. Number 4: magnetic moment 0.000 μB per atom, DOS(E_F) 4.547 states/eV/f.u., E_tot -5.186 eV per atom.